(1)
Material: Rb2TaPdI6
Method: DFT, PBE
State: optimized geometry

Properties
The value obtained for the spin magnetization is 1.00 μB/f.u.

Unit cell a=11.575 b=11.575 c=11.575 alpha=90.00 beta=90.00 gamma=90.00
Space group Fm-3m (No. 225)
One atom of each set of equivalent atoms:
1 Rb 0.250 0.250 0.250
2 Ta 0.000 0.000 0.000
3 Pd 0.000 0.000 0.500
4 I 0.000 0.000 0.245


(2)
Material: RbTaPd2I
Method: DFT, PBE
State: optimized geometry

Properties
The value obtained for the spin magnetization is 1.13 μB/f.u.

Unit cell a=5.205 b=5.205 c=5.191 alpha=90.00 beta=90.00 gamma=90.00
Space group P4/mmm (No. 123)
One atom of each set of equivalent atoms:
1 Rb 0.000 0.000 0.000
2 Ta 0.500 0.500 0.000
3 Pd 0.000 0.500 0.500
4 I 0.500 0.500 0.500


(3)
Material: RbTcPdI6
Method: DFT, PBE
State: optimized geometry

Properties
The value obtained for the spin magnetization is 4.09 μB/f.u.

Unit cell a=7.3923 b=7.3923 c=8.1499 alpha=90.00 beta=90.00 gamma=120.00
Space group P312 (No. 149)
One atom of each set of equivalent atoms:
1 Rb 0.0000 0.0000 0.0000
2 Tc 0.6667 0.3333 0.5000
3 Pd 0.3333 0.6667 0.5000
4 I 0.3827 0.0127 0.6940


(4)
Material: RbTe2PdI
Method: DFT, PBE
State: optimized geometry

Properties
The value obtained for the spin magnetization is 4.07 μB/f.u.

Unit cell a=6.807 b=6.807 c=6.710 alpha=90.00 beta=90.00 gamma=90.00
Space group P4/mmm (No. 123)
One atom of each set of equivalent atoms:
1 Rb 0.000 0.000 0.000
2 Te 0.000 0.500 0.000
3 Pd 0.500 0.500 0.500
4 I 0.000 0.000 0.500


(5)
Material: RbTePdI2
Method: DFT, PBE
State: optimized geometry

Properties
The value obtained for the spin magnetization is 0.83 μB/f.u.

Unit cell a=5.782 b=5.782 c=5.325 alpha=90.00 beta=90.00 gamma=90.00
Space group P4/mmm (No. 123)
One atom of each set of equivalent atoms:
1 Rb 0.000 0.000 0.000
2 Te 0.500 0.500 0.000
3 Pd 0.500 0.500 0.500
4 I 0.000 0.500 0.500


(6)
Material: RbTePdI2
Method: DFT, PBE
State: optimized geometry

Properties
The value obtained for the spin magnetization is 3.10 μB/f.u.

Unit cell a=6.835 b=6.835 c=6.833 alpha=90.00 beta=90.00 gamma=90.00
Space group P4/mmm (No. 123)
One atom of each set of equivalent atoms:
1 Rb 0.000 0.000 0.000
2 Te 0.000 0.000 0.500
3 Pd 0.500 0.500 0.500
4 I 0.000 0.500 0.000


(7)
Material: RbTe2PdI
Method: DFT, PBE
State: optimized geometry

Properties
The value obtained for the spin magnetization is 0.00 μB/f.u.

Unit cell a=5.392 b=5.392 c=5.878 alpha=90.00 beta=90.00 gamma=90.00
Space group P4/mmm (No. 123)
One atom of each set of equivalent atoms:
1 Rb 0.000 0.000 0.000
2 Te 0.000 0.500 0.500
3 Pd 0.500 0.500 0.500
4 I 0.500 0.500 0.000


(8)
Material: Rb3Tl3PdI8
Method: DFT, PBE
State: optimized geometry

Properties
The value obtained for the spin magnetization is 2.03 μB/f.u.

Unit cell a=10.2393 b=10.2393 c=24.3616 alpha=90.00 beta=90.00 gamma=120.00
Space group R-3m (No. 166, hexagonal axes)
One atom of each set of equivalent atoms:
1 Rb 0.0000 0.5000 0.0000
2 Tl 0.0000 0.5000 0.5000
3 Pd 0.0000 0.0000 0.0000
4 I 0.0000 0.0000 0.2464
5 I 0.0677 0.5338 0.7368


Number 1: electronic total energy -3.457 eV/atom, raw formation energy -629 meV per atom. Number 2: electronic total energy -3.914 eV/atom, raw formation energy 1038 meV per atom. Number 3: electronic total energy -3.204 eV/atom, raw formation energy -334 meV per atom. Number 4: electronic total energy -1.803 eV/atom, raw formation energy 996 meV per atom. Number 5: electronic total energy -2.973 eV/atom, raw formation energy -493 meV per atom. Number 6: electronic total energy -1.786 eV/atom, raw formation energy 695 meV per atom. Number 7: electronic total energy -3.150 eV/atom, raw formation energy -351 meV per atom. Number 8: electronic total energy -2.680 eV/atom, raw formation energy -840 meV per atom.